# 1
VASP calculation (PBE-GGA) on a relaxed SrCoTc3 crystal.

Calculated values
**Symmetry**: Pm-3m
**Relative energy among the computed polymorphs**: 2.160 eV per atom

Cell lengths 4.6677, 4.6677, 4.6677 Å; angles 90.00, 90.00, 90.00 degrees
Closest atoms and distances in Å follow each position.
Positions (direct):
Sr1 0.0000 0.0000 0.0000  6 Tc 2.33
Co1 0.5000 0.5000 0.5000  12 Tc 3.30
Tc1 0.0000 0.0000 0.5000  2 Sr 2.33
Tc2 0.0000 0.5000 0.0000  2 Sr 2.33
Tc3 0.5000 0.0000 0.0000  2 Sr 2.33



# 2
VASP calculation (PBE-GGA) on a relaxed SmAuO crystal.

Calculated values
**Symmetry**: P4/nmm
**Relative energy among the computed polymorphs**: 0.000 eV per atom
**Formation energy from raw total energies**: -2.192 eV/atom

Cell lengths 3.9686, 3.9686, 7.3655 Å; angles 90.00, 90.00, 90.00 degrees
Closest atoms and distances in Å follow each position.
Positions (direct):
Sm1 0.2500 0.2500 0.1585  4 O 2.30
Sm2 0.7500 0.7500 0.8415  4 O 2.30
Au1 0.2500 0.2500 0.5824  4 Au 3.06, 5 Sm 3.12-3.39
Au2 0.7500 0.7500 0.4176  4 Au 3.06, 5 Sm 3.12-3.39
O1 0.2500 0.7500 0.0000  4 Sm 2.30
O2 0.7500 0.2500 0.0000  4 Sm 2.30



# 3
VASP calculation (PBE-GGA) on a relaxed KBa5Mg4 crystal.

Calculated values
**Symmetry**: P4/mmm
**Final energy**: -1.7429 eV per atom

Cell lengths 4.4033, 4.4033, 24.2112 Å; angles 90.00, 90.00, 90.00 degrees
Closest atoms and distances in Å follow each position.
Positions (direct):
K1 0.0000 0.0000 0.0000  4 K 4.40, 8 Ba 4.72
Ba1 0.5000 0.5000 0.1466  4 Mg 3.75
Ba2 0.5000 0.5000 0.3223  8 Mg 3.79-3.80
Ba3 0.5000 0.5000 0.5000  8 Mg 3.77
Ba4 0.5000 0.5000 0.6777  8 Mg 3.79-3.80
Ba5 0.5000 0.5000 0.8534  4 Mg 3.75
Mg1 0.0000 0.0000 0.2331  8 Ba 3.75-3.79
Mg2 0.0000 0.0000 0.4122  8 Ba 3.77-3.80
Mg3 0.0000 0.0000 0.5878  8 Ba 3.77-3.80
Mg4 0.0000 0.0000 0.7669  8 Ba 3.75-3.79



# 4
VASP calculation (PBE-GGA) on a relaxed LaTb12Sm6 crystal.

Calculated values
**Symmetry**: R-3m
**Relative energy among the computed polymorphs**: 0.053 eV per atom

Cell lengths 8.7702, 8.7702, 8.7702 Å; angles 98.79, 98.79, 98.79 degrees
Closest atoms and distances in Å follow each position.
Positions (direct):
La1 0.0000 0.0000 0.0000  6 Sm 3.47
Tb1 0.0823 0.3565 0.3565  6 Tb 3.36-3.65, 2 Sm 3.71
Tb2 0.2414 0.5000 0.7587  6 Tb 3.36-3.55, 4 Sm 3.47-3.57
Tb3 0.2414 0.7587 0.5000  6 Tb 3.36-3.55, 4 Sm 3.47-3.57
Tb4 0.3565 0.0823 0.3565  6 Tb 3.36-3.65, 2 Sm 3.71
Tb5 0.3565 0.3565 0.0823  6 Tb 3.36-3.65, 2 Sm 3.71
Tb6 0.5000 0.2414 0.7587  6 Tb 3.36-3.55, 4 Sm 3.47-3.57
Tb7 0.5000 0.7587 0.2414  6 Tb 3.36-3.55, 4 Sm 3.47-3.57
Tb8 0.6435 0.6435 0.9177  6 Tb 3.36-3.65, 2 Sm 3.71
Tb9 0.6435 0.9177 0.6435  6 Tb 3.36-3.65, 2 Sm 3.71
Tb10 0.7587 0.2414 0.5000  6 Tb 3.36-3.55, 4 Sm 3.47-3.57
Tb11 0.7587 0.5000 0.2414  6 Tb 3.36-3.55, 4 Sm 3.47-3.57
Tb12 0.9177 0.6435 0.6435  6 Tb 3.36-3.65, 2 Sm 3.71
Sm1 0.0995 0.0995 0.6553  1 Sm 3.11, 1 La 3.47, 2 Tb 3.47
Sm2 0.0995 0.6553 0.0995  1 Sm 3.11, 1 La 3.47, 2 Tb 3.47
Sm3 0.3447 0.9005 0.9005  1 Sm 3.11, 1 La 3.47, 2 Tb 3.47
Sm4 0.6553 0.0995 0.0995  1 Sm 3.11, 1 La 3.47, 2 Tb 3.47
Sm5 0.9005 0.3447 0.9005  1 Sm 3.11, 1 La 3.47, 2 Tb 3.47
Sm6 0.9005 0.9005 0.3447  1 Sm 3.11, 1 La 3.47, 2 Tb 3.47



# 5
VASP calculation (PBE-GGA) on a relaxed PrPd4Au2 crystal.

Calculated values
**Symmetry**: C2/m
**Relative energy among the computed polymorphs**: 0.000 eV per atom

Cell lengths 5.5837, 5.5837, 5.4947 Å; angles 119.24, 119.24, 76.06 degrees
Closest atoms and distances in Å follow each position.
Positions (direct):
Pr1 0.0000 0.0000 0.0000  4 Pd 2.94
Pd1 0.9998 0.3970 0.6986  4 Pd 2.73-2.93, 4 Au 2.84-2.85, 1 Pr 2.94
Pd2 0.0002 0.6030 0.3014  4 Pd 2.73-2.93, 4 Au 2.84-2.85, 1 Pr 2.94
Pd3 0.3970 0.9998 0.6986  4 Pd 2.73-2.93, 4 Au 2.84-2.85, 1 Pr 2.94
Pd4 0.6030 0.0002 0.3014  4 Pd 2.73-2.93, 4 Au 2.84-2.85, 1 Pr 2.94
Au1 0.5001 0.5001 0.2500  2 Au 2.75, 8 Pd 2.84-2.85
Au2 0.4999 0.4999 0.7500  2 Au 2.75, 8 Pd 2.84-2.85



# 6
VASP calculation (PBE-GGA) on a relaxed Y2Ag3Pb crystal.

Calculated values
**Symmetry**: Imm2
**Relative energy among the computed polymorphs**: 0.113 eV per atom

Cell lengths 9.7294, 9.7294, 9.7294 Å; angles 158.06, 153.47, 34.69 degrees
Closest atoms and distances in Å follow each position.
Positions (direct):
Y1 0.0000 0.0000 0.0000  6 Ag 3.16-3.33, 4 Pb 3.34
Y2 0.7141 0.2141 0.5000  10 Ag 3.14-3.30
Ag1 0.1491 0.6491 0.5000  3 Ag 2.70-2.71
Ag2 0.2950 0.7950 0.5000  1 Ag 2.71, 2 Pb 2.84
Ag3 0.5672 0.5672 0.0000  2 Ag 2.70, 1 Pb 2.91
Pb1 0.4107 0.4107 0.0000  3 Ag 2.84-2.91



# 7
VASP calculation (PBE-GGA) on a relaxed TePW2N crystal.

Calculated values
**Symmetry**: P4/mmm
**Formation energy from raw total energies**: 3.551 eV/atom

Cell lengths 4.9867, 4.9867, 4.8961 Å; angles 90.00, 90.00, 90.00 degrees
Closest atoms and distances in Å follow each position.
Positions (direct):
Te1 0.0000 0.0000 0.0000  2 P 2.45, 4 W 2.49
P1 0.0000 0.0000 0.5000  2 Te 2.45
W1 0.0000 0.5000 0.0000  2 Te 2.49
W2 0.5000 0.0000 0.0000  2 Te 2.49
N1 0.5000 0.5000 0.5000  8 W 3.49, 4 P 3.53



# 8
VASP calculation (PBE-GGA) on a relaxed Th4SnPtSe2 crystal.

Calculated values
**Symmetry**: P2/m
**Formation energy from raw total energies**: -1.157 eV/atom

Cell lengths 7.4088, 4.2356, 7.7005 Å; angles 90.00, 108.90, 90.00 degrees
Closest atoms and distances in Å follow each position.
Positions (direct):
Th1 0.2331 0.0000 0.2289  2 Pt 2.93, 3 Se 3.05-3.17, 1 Sn 3.11
Th2 0.2549 0.5000 0.7642  3 Se 2.99-3.14, 1 Pt 3.01, 2 Sn 3.11
Th3 0.7451 0.5000 0.2358  3 Se 2.99-3.14, 1 Pt 3.01, 2 Sn 3.11
Th4 0.7669 0.0000 0.7711  2 Pt 2.93, 3 Se 3.05-3.17, 1 Sn 3.11
Sn1 0.0000 0.0000 0.5000  6 Th 3.11
Pt1 0.0000 0.5000 0.0000  6 Th 2.93-3.01
Se1 0.5000 0.0000 0.0000  6 Th 2.99-3.05
Se2 0.5000 0.5000 0.5000  6 Th 3.14-3.17



# 9
VASP calculation (PBE-GGA) on a relaxed CdFe2Si crystal.

Calculated values
**Symmetry**: R3m
**Relative energy among the computed polymorphs**: 0.254 eV per atom
**Formation energy from raw total energies**: 0.243 eV/atom

Cell lengths 8.6715, 8.6715, 8.6715 Å; angles 18.82, 18.82, 18.82 degrees
Closest atoms and distances in Å follow each position.
Positions (direct):
Cd1 0.0000 0.0000 0.0000  6 Cd 2.84, 3 Fe 2.87, 3 Si 3.06
Fe1 0.4961 0.4961 0.4961  3 Si 2.41, 3 Fe 2.43
Fe2 0.7591 0.7591 0.7591  3 Fe 2.43
Si1 0.2320 0.2320 0.2320  3 Fe 2.41



# 10
VASP calculation (PBE-GGA) on a relaxed PmZn4Ag crystal.

Calculated values
**Symmetry**: P6/mmm
**Relative energy among the computed polymorphs**: 0.000 eV per atom

Cell lengths 4.4123, 4.4123, 6.6624 Å; angles 90.00, 90.00, 120.00 degrees
Closest atoms and distances in Å follow each position.
Positions (direct):
Pm1 0.0000 0.0000 0.0000  12 Zn 3.18, 2 Ag 3.33
Zn1 0.3333 0.6667 0.2867  4 Zn 2.55-2.84
Zn2 0.3333 0.6667 0.7133  4 Zn 2.55-2.84
Zn3 0.6667 0.3333 0.2867  4 Zn 2.55-2.84
Zn4 0.6667 0.3333 0.7133  4 Zn 2.55-2.84
Ag1 0.0000 0.0000 0.5000  12 Zn 2.92



Number 1: Fermi-level density of states 2.1128 states/eV per atom. Number 2: Fermi-level density of states 0.1286 states/eV per atom. Number 3: Fermi-level density of states 0.9181 states/eV per atom. Number 4: Fermi-level density of states 1.6726 states/eV per atom. Number 5: Fermi-level density of states 0.3748 states/eV per atom. Number 6: Fermi-level density of states 0.6762 states/eV per atom. Number 7: Fermi-level density of states 1.2658 states/eV per atom. Number 8: Fermi-level density of states 0.7127 states/eV per atom. Number 9: Fermi-level density of states 0.8706 states/eV per atom. Number 10: Fermi-level density of states 0.5823 states/eV per atom.